Y2Mn2N | PBE | optimized geometry

Output
space group = No. 139
raw formation energy = 458.7 meV/atom
relative energy among the computed polymorphs = 2.91 kJ per mole of atoms
crystal system = tetragonal
DFT total energy = -7.460 eV/atom
size of the total moment = 3.37 μB/f.u.

Cell and atoms, written as POSCAR:
```
Y2Mn2N
1.0
5.480 0.000 0.000
0.000 5.480 0.000
2.740 2.740 3.130
Y N Mn
2 1 2
Direct
0.750 0.250 0.500
0.250 0.750 0.500
0.000 0.000 0.000
0.712 0.712 0.576
0.288 0.288 0.424
```



BeRuAu | PBE | optimized geometry

Output
space group = No. 107
relative energy among the computed polymorphs = 0.00 kJ per mole of atoms
energy of formation = 3 kJ/mol of atoms
crystal system = tetragonal
DFT total energy = -5.394 eV/atom
size of the total moment = 0.00 μB/f.u.

Cell and atoms, written as POSCAR:
```
BeRuAu
1.0
5.431 -0.076 0.055
4.739 2.589 0.582
0.692 -0.355 2.694
Au Ru Be
1 1 1
Direct
0.017 0.017 0.983
0.307 0.307 0.693
0.677 0.677 0.323
```



Nd2YFe9 | PBE | optimized geometry

Output
space group = No. 166
energy of formation = 1 kJ/mol of atoms
crystal system = trigonal
DFT total energy = -7.670 eV/atom
size of the total moment = 19.04 μB/f.u.

Cell and atoms, written as POSCAR:
```
Nd2YFe9
1.0
4.941 0.000 1.471
2.252 4.398 1.471
0.075 0.046 8.786
Fe Nd Y
9 2 1
Direct
0.917 0.423 0.238
0.667 0.667 0.998
0.083 0.577 0.762
0.577 0.577 0.762
0.423 0.423 0.238
0.423 0.917 0.238
0.500 0.500 0.500
0.333 0.333 0.002
0.577 0.083 0.762
0.859 0.859 0.424
0.141 0.141 0.576
0.000 0.000 0.000
```



InCo3B | PBE | optimized geometry

Output
space group = No. 221
relative energy among the computed polymorphs = 240.61 kJ per mole of atoms
energy of formation = 233 kJ/mol of atoms
crystal system = cubic
DFT total energy = -3.732 eV/atom
size of the total moment = 5.10 μB/f.u.

Cell and atoms, written as POSCAR:
```
InCo3B
1.0
-2.578 3.122 2.385
-3.926 -1.936 -1.709
-0.153 -2.930 3.670
Co B In
3 1 1
Direct
0.000 0.500 0.000
0.500 0.000 0.000
0.000 0.000 0.500
0.500 0.500 0.500
0.000 0.000 0.000
```



MgAg2Te | PBE | optimized geometry

Output
space group = No. 216
raw formation energy = -25.7 meV/atom
relative energy among the computed polymorphs = 12.57 kJ per mole of atoms
crystal system = cubic
DFT total energy = -2.635 eV/atom
size of the total moment = 0.00 μB/f.u.

Cell and atoms, written as POSCAR:
```
MgAg2Te
1.0
4.986 0.000 0.000
2.493 4.318 0.000
2.493 1.439 4.071
Te Ag Mg
1 2 1
Direct
0.750 0.750 0.750
0.250 0.250 0.250
0.000 0.000 0.000
0.500 0.500 0.500
```



Ac2SiIr | PBE | optimized geometry

Output
space group = No. 8
raw formation energy = -673.7 meV/atom
crystal system = monoclinic
DFT total energy = -6.299 eV/atom
size of the total moment = 0.00 μB/f.u.

Cell and atoms, written as POSCAR:
```
Ac2SiIr
1.0
4.213 0.000 0.965
1.995 3.711 0.965
0.273 0.163 8.349
Si Ac Ir
1 2 1
Direct
0.793 0.793 0.620
0.207 0.207 0.375
0.043 0.043 0.874
0.456 0.456 0.631
```



TlGe2AsS6 | PBE | optimized geometry

Output
space group = No. 15
raw formation energy = -189.4 meV/atom
crystal system = monoclinic
DFT total energy = -4.291 eV/atom
size of the total moment = 0.00 μB/f.u.

Cell and atoms, written as POSCAR:
```
TlGe2AsS6
1.0
6.947 0.447 0.464
2.754 8.826 0.945
2.754 0.617 8.855
Tl S As Ge
2 12 2 4
Direct
0.250 0.649 0.351
0.750 0.351 0.649
0.909 0.929 0.207
0.106 0.598 0.066
0.591 0.793 0.071
0.606 0.066 0.598
0.410 0.324 0.240
0.409 0.207 0.929
0.894 0.402 0.934
0.590 0.676 0.760
0.091 0.071 0.793
0.394 0.934 0.402
0.910 0.240 0.324
0.090 0.760 0.676
0.750 0.737 0.263
0.250 0.263 0.737
0.129 0.340 0.116
0.371 0.884 0.660
0.871 0.660 0.884
0.629 0.116 0.340
```



Tm2AlGa3 | PBE | optimized geometry

Output
space group = No. 8
relative energy among the computed polymorphs = 0.00 kJ per mole of atoms
energy of formation = -56 kJ/mol of atoms
crystal system = monoclinic
DFT total energy = -4.204 eV/atom
size of the total moment = 0.00 μB/f.u.

Cell and atoms, written as POSCAR:
```
Tm2AlGa3
1.0
-2.035 3.078 -2.105
0.457 -0.678 -5.721
-5.150 -1.697 -1.787
Tm Ga Al
2 3 1
Direct
0.557 0.191 0.695
0.440 0.812 0.308
0.838 0.207 0.118
0.842 0.606 0.710
0.161 0.791 0.887
0.162 0.393 0.283
```